# meta-GGA SCAN NaHI2F, PBEsol geometry
data_NaHI2F
_cell_length_a 5.2992
_cell_length_b 5.2992
_cell_length_c 4.4712
_cell_angle_alpha 90.00
_cell_angle_beta 90.00
_cell_angle_gamma 90.00
_symmetry_space_group_name_H-M 'P 4/m m m'
_symmetry_Int_Tables_number 123
_symmetry_space_group_name_Hall '-P 4 2'
loop_
_atom_site_label
_atom_site_type_symbol
_atom_site_fract_x
_atom_site_fract_y
_atom_site_fract_z
Na1 Na 0.0000 0.0000 0.0000
H1 H 0.5000 0.5000 0.0000
I1 I 0.0000 0.5000 0.5000
F1 F 0.0000 0.0000 0.5000
# - V: 25.11 A^3/atom
# - Electronic total energy: -85.9 eV per cell
# - M_tot: 0.294 μB per atom